Cs2VMoAs after structural relaxation, computed with PBE.

Summary:
Its total energy is -20.2 eV per cell. As for the crystal system: tetragonal. As for the space group: P4/mmm (123). As for the density of states at the Fermi level: 1.3356 states/eV per atom.

Cell: 7.2354 4.9013 7.2354 Å, 90.00 90.00 90.00°
With the nearest neighbours (Å) after each atom.
Sites, in units of the cell vectors:
Cs 0.0000 0.0000 0.5000  2 As 3.62
V 0.5000 0.5000 0.5000  8 Cs 4.37
Cs 0.5000 0.0000 0.0000  2 As 3.62
Mo 0.0000 0.5000 0.0000  2 As 2.45
As 0.0000 0.0000 0.0000  2 Mo 2.45